{
  "formula": "PN",
  "functional": "GGA-PBE",
  "state": "relaxed",
  "cell": [[0.0000, 2.1760, 2.1760], [2.1760, 0.0000, 2.1760], [2.1760, 2.1760, 0.0000]],
  "species": ["P", "N"],
  "fractional_positions": [[0.0000, 0.0000, 0.0000], [0.5000, 0.5000, 0.5000]],
  "magnetic_moment_mub_per_cell": 0.00,
  "e_form_raw_mev_per_atom": 1139.8,
  "crystal_system": "cubic",
  "total_energy_ev_per_atom": -5.728,
  "volume_a3_per_atom": 10.3
}